w.
Compound: CePu2Ru
Source: Alexandria via LeMat-Bulk
Functional: PBE
Structure: relaxed

Calculated values
space-group type: R-3m

Cell: 4.7255 4.7255 13.5734 Å, 90.00 90.00 120.00°
Sites, in units of the cell vectors:
Ce (0.0000, 0.0000, 0.0000)
Ce (0.3333, 0.6667, 0.6667)
Ce (0.6667, 0.3333, 0.3333)
Pu (0.0000, 0.0000, 0.2437)
Pu (0.0000, 0.0000, 0.7563)
Pu (0.3333, 0.6667, 0.4230)
Pu (0.3333, 0.6667, 0.9104)
Pu (0.6667, 0.3333, 0.0896)
Pu (0.6667, 0.3333, 0.5770)
Ru (0.0000, 0.0000, 0.5000)
Ru (0.3333, 0.6667, 0.1667)
Ru (0.6667, 0.3333, 0.8333)

x.
Compound: CePu2Ru
Source: Alexandria via LeMat-Bulk
Functional: PBE
Structure: relaxed

Calculated values
space-group type: P2_1/m

Cell: 3.3981 10.4243 5.0904 Å, 90.00 108.85 90.00°
Sites, in units of the cell vectors:
Ce (0.0719, 0.2500, 0.1366)
Ce (0.9281, 0.7500, 0.8634)
Pu (0.3274, 0.0231, 0.6599)
Pu (0.3274, 0.4769, 0.6599)
Pu (0.6726, 0.5231, 0.3401)
Pu (0.6726, 0.9769, 0.3401)
Ru (0.1893, 0.7500, 0.3715)
Ru (0.8107, 0.2500, 0.6285)

y.
Compound: CePu2Ru
Source: Alexandria via LeMat-Bulk
Functional: PBE
Structure: relaxed

Calculated values
space-group type: P4/mmm

Cell: 3.4585 3.4585 7.2831 Å, 90.00 90.00 90.00°
Sites, in units of the cell vectors:
Ce (0.0000, 0.0000, 0.0000)
Pu (0.5000, 0.5000, 0.2834)
Pu (0.5000, 0.5000, 0.7166)
Ru (0.0000, 0.0000, 0.5000)

The structure with the least stability is x.